1.
Sr2AgSe2: relaxed, GGA-PBE.

SG: P4/mbm (127)
E_form (uncorrected) in meV/atom: -1274.7
Calculated total energy in eV/cell: -39.1
Fermi-level density of states in states/eV per cell: 4.8

Cell lengths 8.367, 8.367, 4.018 Å; angles 90.00, 90.00, 90.00 degrees
Fractional coordinates of all 10 atoms:
Sr: 0.155 0.345 0.000
Sr: 0.345 0.845 0.000
Sr: 0.655 0.155 0.000
Sr: 0.845 0.655 0.000
Ag: 0.000 0.000 0.500
Ag: 0.500 0.500 0.500
Se: 0.153 0.653 0.500
Se: 0.347 0.153 0.500
Se: 0.653 0.847 0.500
Se: 0.847 0.347 0.500


2.
BeFeAs: relaxed, GGA-PBE.

SG: F-43m (216)
ΔH_f (0 K) in eV/f.u.: 0.20
Energy relative to the lowest polymorph listed for this composition in kJ/mol of formula units: 47
Calculated total energy in eV/cell: -16.6
Fermi-level density of states in states/eV per cell: 2.3

Cell lengths 3.783, 3.783, 3.783 Å; angles 60.00, 60.00, 60.00 degrees
Fractional coordinates of all 3 atoms:
Be: 0.000 0.000 0.000
Fe: 0.250 0.250 0.250
As: 0.500 0.500 0.500


3.
AgSn2Pd8: relaxed, GGA-PBE.

SG: C2/m (12)
ΔH_f (0 K) in eV/f.u.: -2.34
Energy relative to the lowest polymorph listed for this composition in kJ/mol of formula units: 122
Calculated total energy in eV/cell: -54.7
Fermi-level density of states in states/eV per cell: 5.5

Cell lengths 7.157, 7.157, 4.771 Å; angles 103.10, 103.10, 118.58 degrees
Fractional coordinates of all 11 atoms:
Ag: 0.000 0.000 0.000
Sn: 0.309 0.691 0.500
Sn: 0.691 0.309 0.500
Pd: 0.095 0.321 0.627
Pd: 0.219 0.781 0.000
Pd: 0.321 0.095 0.627
Pd: 0.406 0.406 0.185
Pd: 0.594 0.594 0.815
Pd: 0.679 0.905 0.373
Pd: 0.781 0.219 0.000
Pd: 0.905 0.679 0.373


4.
Cr2CoWN: relaxed, GGA-PBE.

SG: P4/mmm (123)
E_form (uncorrected) in meV/atom: -57.7
Calculated total energy in eV/cell: -47.9
Fermi-level density of states in states/eV per cell: 6.7

Cell lengths 3.772, 3.772, 4.054 Å; angles 90.00, 90.00, 90.00 degrees
Fractional coordinates of all 5 atoms:
Cr: 0.000 0.500 0.000
Cr: 0.500 0.000 0.000
Co: 0.000 0.000 0.500
W: 0.500 0.500 0.500
N: 0.500 0.500 0.000


Question: Which value of Fermi-level density of states does entry 3 give?
Answer: 5.5 states/eV per cell